Compound: InFe2As
Source: Alexandria
Functional: GGA-PBEsol
Structure: optimized geometry

Density of states at the Fermi level   5.03 states/eV/cell
E   -6.20 eV/atom
Energy of formation   1.2 eV/f.u.
Offset from the most stable computed form   42 meV per atom

Lattice parameters (Å, degrees): 4.264 4.264 3.105 90.00 90.00 90.00
Fractional coordinates of all 4 atoms:
In  0.000  0.000  0.000
Fe  0.000  0.500  0.500
Fe  0.500  0.000  0.500
As  0.500  0.500  0.000